No. 1
Material: Nd3Pd2Rh
Method: DFT, PBE-GGA
State: optimized geometry

## Properties
Its formation energy is -0.6934 eV/atom. The crystal system is orthorhombic. For the total magnetization, the calculation gives 0.00 μB/atom. As for the density of states at the Fermi level: 0.69 states/eV/atom. The value obtained for the electronic total energy is -144.805 eV/cell.

CIF file:
```
data_Nd3Pd2Rh
_cell_length_a 11.857
_cell_length_b 4.278
_cell_length_c 11.742
_cell_angle_alpha 90.00
_cell_angle_beta 90.00
_cell_angle_gamma 90.00
_space_group_name_H-M_alt 'P n m a'
_space_group_IT_number 62
loop_
_space_group_symop_operation_xyz
'x,y,z'
'-x,-y,-z'
'-x+1/2,-y,z+1/2'
'x+1/2,y,-z+1/2'
'x+1/2,-y+1/2,-z+1/2'
'-x+1/2,y+1/2,z+1/2'
'-x,y+1/2,-z'
'x,-y+1/2,z'
loop_
_atom_site_label
_atom_site_type_symbol
_atom_site_fract_x
_atom_site_fract_y
_atom_site_fract_z
Nd1 Nd 0.047 0.250 0.126
Nd2 Nd 0.120 0.750 0.555
Nd3 Nd 0.230 0.250 0.798
Pd1 Pd 0.002 0.250 0.698
Pd2 Pd 0.179 0.750 0.007
Rh1 Rh 0.127 0.250 0.374
```

No. 2
Material: Nd8PdRh2
Method: DFT, PBE-GGA
State: optimized geometry

## Properties
Its formation energy is -0.3196 eV/atom. The crystal system is monoclinic. For the total magnetization, the calculation gives 0.00 μB/atom. As for the density of states at the Fermi level: 1.01 states/eV/atom. The value obtained for the electronic total energy is -123.109 eV/cell.

CIF file:
```
data_Nd8PdRh2
_cell_length_a 8.433
_cell_length_b 13.502
_cell_length_c 6.015
_cell_angle_alpha 90.00
_cell_angle_beta 109.27
_cell_angle_gamma 90.00
_space_group_name_H-M_alt 'C 1 2/m 1'
_space_group_IT_number 12
loop_
_space_group_symop_operation_xyz
'x,y,z'
'-x,-y,-z'
'-x,y,-z'
'x,-y,z'
'x+1/2,y+1/2,z'
'-x+1/2,-y+1/2,-z'
'-x+1/2,y+1/2,-z'
'x+1/2,-y+1/2,z'
loop_
_atom_site_label
_atom_site_type_symbol
_atom_site_fract_x
_atom_site_fract_y
_atom_site_fract_z
Nd1 Nd 0.000 0.222 0.000
Nd2 Nd 0.131 0.500 0.829
Nd3 Nd 0.215 0.124 0.579
Pd1 Pd 0.000 0.000 0.000
Rh1 Rh 0.000 0.291 0.500
```

No. 3
Material: NdPdRh
Method: DFT, PBE-GGA
State: optimized geometry

## Properties
Its formation energy is -0.6796 eV/atom. The crystal system is orthorhombic. For the total magnetization, the calculation gives 0.00 μB/atom. As for the density of states at the Fermi level: 0.81 states/eV/atom. The value obtained for the electronic total energy is -77.404 eV/cell.

CIF file:
```
data_NdPdRh
_cell_length_a 5.432
_cell_length_b 5.491
_cell_length_c 7.747
_cell_angle_alpha 90.00
_cell_angle_beta 90.00
_cell_angle_gamma 90.00
_space_group_name_H-M_alt 'I m m a'
_space_group_IT_number 74
_space_group_name_Hall '-I 2b 2'
loop_
_atom_site_label
_atom_site_type_symbol
_atom_site_fract_x
_atom_site_fract_y
_atom_site_fract_z
Nd1 Nd 0.000 0.250 0.127
Pd1 Pd 0.250 0.250 0.750
Rh1 Rh 0.000 0.000 0.500
```

No. 4
Material: NdPdRh
Method: DFT, PBE-GGA
State: optimized geometry

## Properties
Its formation energy is -0.4129 eV/atom. The crystal system is tetragonal. For the total magnetization, the calculation gives 0.00 μB/atom. As for the density of states at the Fermi level: 0.91 states/eV/atom. The value obtained for the electronic total energy is -37.102 eV/cell.

CIF file:
```
data_NdPdRh
_cell_length_a 3.605
_cell_length_b 3.605
_cell_length_c 9.175
_cell_angle_alpha 90.00
_cell_angle_beta 90.00
_cell_angle_gamma 90.00
_space_group_name_H-M_alt 'I 4 m m'
_space_group_IT_number 107
_space_group_name_Hall 'I 4 -2'
loop_
_atom_site_label
_atom_site_type_symbol
_atom_site_fract_x
_atom_site_fract_y
_atom_site_fract_z
Nd1 Nd 0.000 0.000 0.000
Pd1 Pd 0.000 0.000 0.323
Rh1 Rh 0.000 0.000 0.667
```

No. 5
Material: Nd12PdRh6
Method: DFT, PBE-GGA
State: optimized geometry

## Properties
Its formation energy is -0.4944 eV/atom. The crystal system is trigonal. For the total magnetization, the calculation gives 0.00 μB/atom. As for the density of states at the Fermi level: 0.69 states/eV/atom. The value obtained for the electronic total energy is -347.726 eV/cell.

CIF file:
```
data_Nd12PdRh6
_cell_length_a 12.9332
_cell_length_b 12.9332
_cell_length_c 11.7090
_cell_angle_alpha 90.00
_cell_angle_beta 90.00
_cell_angle_gamma 120.00
_space_group_name_H-M_alt 'R -3'
_space_group_IT_number 148
_space_group_name_Hall '-R 3'
loop_
_atom_site_label
_atom_site_type_symbol
_atom_site_fract_x
_atom_site_fract_y
_atom_site_fract_z
Nd1 Nd 0.0261 0.8135 0.3896
Nd2 Nd 0.0357 0.8267 0.8819
Pd1 Pd 0.0000 0.0000 0.0000
Rh1 Rh 0.0442 0.7813 0.6469
```

No. 6
Material: Nd4Pd3Rh
Method: DFT, PBE-GGA
State: optimized geometry

## Properties
Its formation energy is -0.7846 eV/atom. The crystal system is orthorhombic. For the total magnetization, the calculation gives 0.00 μB/atom. As for the density of states at the Fermi level: 0.73 states/eV/atom. The value obtained for the electronic total energy is -48.278 eV/cell.

CIF file:
```
data_Nd4Pd3Rh
_cell_length_a 3.888
_cell_length_b 4.593
_cell_length_c 10.858
_cell_angle_alpha 90.00
_cell_angle_beta 90.00
_cell_angle_gamma 90.00
_space_group_name_H-M_alt 'P m m 2'
_space_group_IT_number 25
loop_
_space_group_symop_operation_xyz
'x,y,z'
'-x,-y,z'
'-x,y,z'
'x,-y,z'
loop_
_atom_site_label
_atom_site_type_symbol
_atom_site_fract_x
_atom_site_fract_y
_atom_site_fract_z
Nd1 Nd 0.000 0.000 0.000
Nd2 Nd 0.000 0.500 0.267
Nd3 Nd 0.500 0.000 0.485
Nd4 Nd 0.500 0.500 0.766
Pd1 Pd 0.000 0.000 0.715
Pd2 Pd 0.000 0.500 0.547
Pd3 Pd 0.500 0.500 0.044
Rh1 Rh 0.500 0.000 0.221
```

No. 7
Material: Nd8PdRh5
Method: DFT, PBE-GGA
State: optimized geometry

## Properties
Its formation energy is -0.6453 eV/atom. The crystal system is tetragonal. For the total magnetization, the calculation gives 0.00 μB/atom. As for the density of states at the Fermi level: 0.70 states/eV/atom. The value obtained for the electronic total energy is -178.255 eV/cell.

CIF file:
```
data_Nd8PdRh5
_cell_length_a 8.922
_cell_length_b 8.922
_cell_length_c 8.867
_cell_angle_alpha 90.00
_cell_angle_beta 90.00
_cell_angle_gamma 90.00
_space_group_name_H-M_alt 'I -4'
_space_group_IT_number 82
loop_
_space_group_symop_operation_xyz
'x,y,z'
'y,-x,-z'
'-x,-y,z'
'-y,x,-z'
'x+1/2,y+1/2,z+1/2'
'y+1/2,-x+1/2,-z+1/2'
'-x+1/2,-y+1/2,z+1/2'
'-y+1/2,x+1/2,-z+1/2'
loop_
_atom_site_label
_atom_site_type_symbol
_atom_site_fract_x
_atom_site_fract_y
_atom_site_fract_z
Nd1 Nd 0.059 0.308 0.068
Nd2 Nd 0.062 0.186 0.683
Pd1 Pd 0.000 0.500 0.750
Rh1 Rh 0.000 0.000 0.000
Rh2 Rh 0.127 0.248 0.375
```

No. 8
Material: NdPdRh4
Method: DFT, PBE-GGA
State: optimized geometry

## Properties
Its formation energy is -0.2240 eV/atom. The crystal system is cubic. For the total magnetization, the calculation gives 0.17 μB/atom. As for the density of states at the Fermi level: 2.06 states/eV/atom. The value obtained for the electronic total energy is -162.841 eV/cell.

CIF file:
```
data_NdPdRh4
_cell_length_a 7.460
_cell_length_b 7.460
_cell_length_c 7.460
_cell_angle_alpha 90.00
_cell_angle_beta 90.00
_cell_angle_gamma 90.00
_space_group_name_H-M_alt 'F -4 3 m'
_space_group_IT_number 216
_space_group_name_Hall 'F -4 2 3'
loop_
_atom_site_label
_atom_site_type_symbol
_atom_site_fract_x
_atom_site_fract_y
_atom_site_fract_z
Nd1 Nd 0.000 0.000 0.000
Pd1 Pd 0.250 0.250 0.250
Rh1 Rh 0.124 0.124 0.624
```

No. 9
Material: Nd4PdRh3
Method: DFT, PBE-GGA
State: optimized geometry

## Properties
Its formation energy is -0.7219 eV/atom. The crystal system is orthorhombic. For the total magnetization, the calculation gives 0.00 μB/atom. As for the density of states at the Fermi level: 0.52 states/eV/atom. The value obtained for the electronic total energy is -52.094 eV/cell.

CIF file:
```
data_Nd4PdRh3
_cell_length_a 3.954
_cell_length_b 4.316
_cell_length_c 11.000
_cell_angle_alpha 90.00
_cell_angle_beta 90.00
_cell_angle_gamma 90.00
_space_group_name_H-M_alt 'P m m 2'
_space_group_IT_number 25
loop_
_space_group_symop_operation_xyz
'x,y,z'
'-x,-y,z'
'-x,y,z'
'x,-y,z'
loop_
_atom_site_label
_atom_site_type_symbol
_atom_site_fract_x
_atom_site_fract_y
_atom_site_fract_z
Nd1 Nd 0.000 0.000 0.000
Nd2 Nd 0.000 0.500 0.274
Nd3 Nd 0.500 0.000 0.490
Nd4 Nd 0.500 0.500 0.776
Pd1 Pd 0.000 0.000 0.716
Rh1 Rh 0.000 0.500 0.548
Rh2 Rh 0.500 0.000 0.220
Rh3 Rh 0.500 0.500 0.043
```

No. 10
Material: NdPdRh
Method: DFT, PBE-GGA
State: optimized geometry

## Properties
Its formation energy is -0.5773 eV/atom. The crystal system is hexagonal. For the total magnetization, the calculation gives 0.00 μB/atom. As for the density of states at the Fermi level: 0.13 states/eV/atom. The value obtained for the electronic total energy is -19.044 eV/cell.

CIF file:
```
data_NdPdRh
_cell_length_a 4.3938
_cell_length_b 4.3938
_cell_length_c 3.8642
_cell_angle_alpha 90.00
_cell_angle_beta 90.00
_cell_angle_gamma 120.00
_space_group_name_H-M_alt 'P -6 m 2'
_space_group_IT_number 187
_space_group_name_Hall 'P -6 2'
loop_
_atom_site_label
_atom_site_type_symbol
_atom_site_fract_x
_atom_site_fract_y
_atom_site_fract_z
Nd1 Nd 0.0000 0.0000 0.0000
Pd1 Pd 0.3333 0.6667 0.5000
Rh1 Rh 0.6667 0.3333 0.5000
```

No. 11
Material: Nd3Pd3Rh
Method: DFT, PBE-GGA
State: optimized geometry

## Properties
Its formation energy is -0.7219 eV/atom. The crystal system is orthorhombic. For the total magnetization, the calculation gives 0.00 μB/atom. As for the density of states at the Fermi level: 0.67 states/eV/atom. The value obtained for the electronic total energy is -84.573 eV/cell.

CIF file:
```
data_Nd3Pd3Rh
_cell_length_a 3.980
_cell_length_b 4.418
_cell_length_c 18.670
_cell_angle_alpha 90.00
_cell_angle_beta 90.00
_cell_angle_gamma 90.00
_space_group_name_H-M_alt 'I m m 2'
_space_group_IT_number 44
loop_
_space_group_symop_operation_xyz
'x,y,z'
'-x,-y,z'
'-x,y,z'
'x,-y,z'
'x+1/2,y+1/2,z+1/2'
'-x+1/2,-y+1/2,z+1/2'
'-x+1/2,y+1/2,z+1/2'
'x+1/2,-y+1/2,z+1/2'
loop_
_atom_site_label
_atom_site_type_symbol
_atom_site_fract_x
_atom_site_fract_y
_atom_site_fract_z
Nd1 Nd 0.000 0.000 0.000
Nd2 Nd 0.000 0.000 0.367
Nd3 Nd 0.000 0.500 0.189
Pd1 Pd 0.000 0.000 0.531
Pd2 Pd 0.000 0.000 0.838
Pd3 Pd 0.000 0.500 0.617
Rh1 Rh 0.000 0.500 0.755
```

No. 12
Material: NdPd2Rh
Method: DFT, PBE-GGA
State: optimized geometry

## Properties
Its formation energy is -0.4124 eV/atom. The crystal system is cubic. For the total magnetization, the calculation gives 0.00 μB/atom. As for the density of states at the Fermi level: 0.61 states/eV/atom. The value obtained for the electronic total energy is -96.618 eV/cell.

CIF file:
```
data_NdPd2Rh
_cell_length_a 6.683
_cell_length_b 6.683
_cell_length_c 6.683
_cell_angle_alpha 90.00
_cell_angle_beta 90.00
_cell_angle_gamma 90.00
_space_group_name_H-M_alt 'F m -3 m'
_space_group_IT_number 225
_space_group_name_Hall '-F 4 2 3'
loop_
_atom_site_label
_atom_site_type_symbol
_atom_site_fract_x
_atom_site_fract_y
_atom_site_fract_z
Nd1 Nd 0.000 0.000 0.000
Pd1 Pd 0.250 0.250 0.250
Rh1 Rh 0.000 0.000 0.500
```

Let's list ρ in order: 8.35 7.53 10.16 9.85 7.21 8.56 8.35 10.59 8.77 9.09 8.65 10.24 Mg/m³.